This record from Alexandria via LeMat-Bulk describes crystalline NaY3Re at its relaxed geometry. The functional is GGA-PBE.

Results
E above lowest polymorph: 1.388 eV per atom
D(E_F): 6.90 states/eV/f.u.
raw total energy: -4.964 eV per atom
formation energy: 160.9 kJ per mole of atoms

a b c (Å): 5.260 5.260 5.260
angles (deg): 90.00 90.00 90.00
Space group Pm-3m (No. 221)
Asymmetric unit:
Na 0.000 0.000 0.000 (multiplicity 1)
Y 0.000 0.000 0.500 (multiplicity 3)
Re 0.500 0.500 0.500 (multiplicity 1)

This record from Alexandria via LeMat-Bulk describes crystalline NaY2Re at its relaxed geometry. The functional is GGA-PBE.

Results
E above lowest polymorph: 0.759 eV per atom
D(E_F): 1.62 states/eV/f.u.
raw total energy: -5.583 eV per atom
formation energy: 105.2 kJ per mole of atoms

a b c (Å): 8.225 8.225 11.710
angles (deg): 90.00 90.00 90.00
Space group I-42d (No. 122)
Asymmetric unit:
Na 0.000 0.000 0.000 (multiplicity 4)
Y 0.001 0.750 0.625 (multiplicity 8)
Re 0.000 0.000 0.500 (multiplicity 4)

This record from Alexandria via LeMat-Bulk describes crystalline NaY3Re at its relaxed geometry. The functional is GGA-PBE.

Results
E above lowest polymorph: 0.000 eV per atom
D(E_F): 5.25 states/eV/f.u.
raw total energy: -6.352 eV per atom
formation energy: 27.0 kJ per mole of atoms

a b c (Å): 5.506 5.506 5.506
angles (deg): 90.00 90.00 90.00
Space group Pm-3m (No. 221)
Asymmetric unit:
Na 0.000 0.000 0.000 (multiplicity 1)
Y 0.000 0.500 0.500 (multiplicity 3)
Re 0.500 0.500 0.500 (multiplicity 1)

This record from Alexandria via LeMat-Bulk describes crystalline Na2YRe at its relaxed geometry. The functional is GGA-PBE.

Results
E above lowest polymorph: 0.234 eV per atom
D(E_F): 1.56 states/eV/f.u.
raw total energy: -4.244 eV per atom
formation energy: 110.3 kJ per mole of atoms

a b c (Å): 7.117 7.117 7.117
angles (deg): 90.00 90.00 90.00
Space group Fm-3m (No. 225)
Asymmetric unit:
Na 0.250 0.250 0.250 (multiplicity 8)
Y 0.000 0.000 0.000 (multiplicity 4)
Re 0.000 0.000 0.500 (multiplicity 4)

This record from Alexandria via LeMat-Bulk describes crystalline NaY2Re at its relaxed geometry. The functional is GGA-PBE.

Results
E above lowest polymorph: 0.000 eV per atom
D(E_F): 2.42 states/eV/f.u.
raw total energy: -6.342 eV per atom
formation energy: 32.0 kJ per mole of atoms

a b c (Å): 7.159 7.159 7.159
angles (deg): 90.00 90.00 90.00
Space group Fm-3m (No. 225)
Asymmetric unit:
Na 0.000 0.000 0.000 (multiplicity 4)
Y 0.250 0.250 0.250 (multiplicity 8)
Re 0.000 0.000 0.500 (multiplicity 4)

This record from Alexandria via LeMat-Bulk describes crystalline NaYRe3 at its relaxed geometry. The functional is GGA-PBE.

Results
E above lowest polymorph: 0.000 eV per atom
D(E_F): 6.61 states/eV/f.u.
raw total energy: -6.523 eV per atom
formation energy: 241.5 kJ per mole of atoms

a b c (Å): 4.633 4.633 4.633
angles (deg): 90.00 90.00 90.00
Space group Pm-3m (No. 221)
Asymmetric unit:
Na 0.000 0.000 0.000 (multiplicity 1)
Y 0.500 0.500 0.500 (multiplicity 1)
Re 0.000 0.000 0.500 (multiplicity 3)

This record from Alexandria via LeMat-Bulk describes crystalline Na2Y2Re at its relaxed geometry. The functional is GGA-PBE.

Results
E above lowest polymorph: 0.000 eV per atom
D(E_F): 3.92 states/eV/f.u.
raw total energy: -5.168 eV per atom
formation energy: 42.0 kJ per mole of atoms

a b c (Å): 3.662 3.662 19.909
angles (deg): 90.00 90.00 90.00
Space group I4/mmm (No. 139)
Asymmetric unit:
Na 0.000 0.500 0.250 (multiplicity 4)
Y 0.000 0.000 0.079 (multiplicity 4)
Re 0.000 0.000 0.500 (multiplicity 2)

This record from Alexandria via LeMat-Bulk describes crystalline Na2YRe at its relaxed geometry. The functional is GGA-PBE.

Results
E above lowest polymorph: 0.000 eV per atom
D(E_F): 3.37 states/eV/f.u.
raw total energy: -4.478 eV per atom
formation energy: 87.8 kJ per mole of atoms

a b c (Å): 4.047 4.047 24.088
angles (deg): 90.00 90.00 90.00
Space group I-42d (No. 122)
Asymmetric unit:
Na 0.227 0.250 0.125 (multiplicity 8)
Y 0.000 0.000 0.500 (multiplicity 4)
Re 0.000 0.000 0.000 (multiplicity 4)

This record from Alexandria via LeMat-Bulk describes crystalline Na2YZnRe at its relaxed geometry. The functional is GGA-PBE.

Results
D(E_F): 6.56 states/eV/f.u.
raw total energy: -3.300 eV per atom
formation energy: 122.0 kJ per mole of atoms

a b c (Å): 4.870 4.870 5.732
angles (deg): 90.00 90.00 90.00
Space group P4/mmm (No. 123)
Asymmetric unit:
Na 0.000 0.500 0.000 (multiplicity 2)
Y 0.000 0.000 0.500 (multiplicity 1)
Zn 0.000 0.000 0.000 (multiplicity 1)
Re 0.500 0.500 0.500 (multiplicity 1)

This record from Alexandria via LeMat-Bulk describes crystalline Na3ZnRe at its relaxed geometry. The functional is GGA-PBE.

Results
E above lowest polymorph: 0.064 eV per atom
D(E_F): 5.11 states/eV/f.u.
raw total energy: -2.039 eV per atom
formation energy: 144.5 kJ per mole of atoms

a b c (Å): 5.852 5.852 5.852
angles (deg): 90.00 90.00 90.00
Space group Pm-3m (No. 221)
Asymmetric unit:
Na 0.000 0.000 0.500 (multiplicity 3)
Zn 0.500 0.500 0.500 (multiplicity 1)
Re 0.000 0.000 0.000 (multiplicity 1)

This record from Alexandria via LeMat-Bulk describes crystalline Na2ZnRe at its relaxed geometry. The functional is GGA-PBE.

Results
D(E_F): 2.68 states/eV/f.u.
raw total energy: -2.859 eV per atom
formation energy: 118.7 kJ per mole of atoms

a b c (Å): 8.160 8.160 5.241
angles (deg): 90.00 90.00 90.00
Space group I-42d (No. 122)
Asymmetric unit:
Na 0.225 0.250 0.125 (multiplicity 8)
Zn 0.000 0.000 0.000 (multiplicity 4)
Re 0.000 0.000 0.500 (multiplicity 4)

This record from Alexandria via LeMat-Bulk describes crystalline NaZnRe3 at its relaxed geometry. The functional is GGA-PBE.

Results
E above lowest polymorph: 0.875 eV per atom
D(E_F): 5.23 states/eV/f.u.
raw total energy: -4.867 eV per atom
formation energy: 301.1 kJ per mole of atoms

a b c (Å): 4.486 4.486 4.486
angles (deg): 90.00 90.00 90.00
Space group Pm-3m (No. 221)
Asymmetric unit:
Na 0.000 0.000 0.000 (multiplicity 1)
Zn 0.500 0.500 0.500 (multiplicity 1)
Re 0.000 0.000 0.500 (multiplicity 3)

This record from Alexandria via LeMat-Bulk describes crystalline NaZn3Re at its relaxed geometry. The functional is GGA-PBE.

Results
E above lowest polymorph: 0.000 eV per atom
D(E_F): 3.61 states/eV/f.u.
raw total energy: -2.913 eV per atom
formation energy: 58.4 kJ per mole of atoms

a b c (Å): 4.905 4.905 4.905
angles (deg): 90.00 90.00 90.00
Space group Pm-3m (No. 221)
Asymmetric unit:
Na 0.000 0.000 0.000 (multiplicity 1)
Zn 0.000 0.500 0.500 (multiplicity 3)
Re 0.500 0.500 0.500 (multiplicity 1)

This record from Alexandria via LeMat-Bulk describes crystalline Na3ZnRe at its relaxed geometry. The functional is GGA-PBE.

Results
E above lowest polymorph: 0.000 eV per atom
D(E_F): 4.22 states/eV/f.u.
raw total energy: -2.103 eV per atom
formation energy: 138.3 kJ per mole of atoms

a b c (Å): 5.384 5.384 5.384
angles (deg): 90.00 90.00 90.00
Space group Pm-3m (No. 221)
Asymmetric unit:
Na 0.000 0.000 0.500 (multiplicity 3)
Zn 0.000 0.000 0.000 (multiplicity 1)
Re 0.500 0.500 0.500 (multiplicity 1)

This record from Alexandria via LeMat-Bulk describes crystalline NaZnRe3 at its relaxed geometry. The functional is GGA-PBE.

Results
E above lowest polymorph: 0.000 eV per atom
D(E_F): 6.93 states/eV/f.u.
raw total energy: -5.741 eV per atom
formation energy: 216.7 kJ per mole of atoms

a b c (Å): 4.582 4.582 4.582
angles (deg): 90.00 90.00 90.00
Space group Pm-3m (No. 221)
Asymmetric unit:
Na 0.000 0.000 0.000 (multiplicity 1)
Zn 0.500 0.500 0.500 (multiplicity 1)
Re 0.000 0.500 0.500 (multiplicity 3)

This record from Alexandria via LeMat-Bulk describes crystalline NaZr3Re at its relaxed geometry. The functional is GGA-PBE.

Results
E above lowest polymorph: 0.000 eV per atom
D(E_F): 7.65 states/eV/f.u.
raw total energy: -7.307 eV per atom
formation energy: 55.5 kJ per mole of atoms

a b c (Å): 5.171 5.171 5.171
angles (deg): 90.00 90.00 90.00
Space group Pm-3m (No. 221)
Asymmetric unit:
Na 0.000 0.000 0.000 (multiplicity 1)
Zr 0.000 0.500 0.500 (multiplicity 3)
Re 0.500 0.500 0.500 (multiplicity 1)

This record from Alexandria via LeMat-Bulk describes crystalline NaZr2Re at its relaxed geometry. The functional is GGA-PBE.

Results
D(E_F): 4.12 states/eV/f.u.
raw total energy: -6.592 eV per atom
formation energy: 108.5 kJ per mole of atoms

a b c (Å): 4.258 4.258 19.189
angles (deg): 90.00 90.00 90.00
Space group I-42d (No. 122)
Asymmetric unit:
Na 0.000 0.000 0.000 (multiplicity 4)
Zr 0.227 0.250 0.625 (multiplicity 8)
Re 0.000 0.000 0.500 (multiplicity 4)

This record from Alexandria via LeMat-Bulk describes crystalline NaZr3Re at its relaxed geometry. The functional is GGA-PBE.

Results
E above lowest polymorph: 1.362 eV per atom
D(E_F): 8.48 states/eV/f.u.
raw total energy: -5.945 eV per atom
formation energy: 186.9 kJ per mole of atoms

a b c (Å): 4.808 4.808 4.808
angles (deg): 90.00 90.00 90.00
Space group Pm-3m (No. 221)
Asymmetric unit:
Na 0.000 0.000 0.000 (multiplicity 1)
Zr 0.000 0.000 0.500 (multiplicity 3)
Re 0.500 0.500 0.500 (multiplicity 1)

This record from Alexandria via LeMat-Bulk describes crystalline NaRh at its relaxed geometry. The functional is GGA-PBE.

Results
D(E_F): 1.96 states/eV/f.u.
raw total energy: -4.059 eV per atom
formation energy: 26.7 kJ per mole of atoms

a b c (Å): 2.765 13.652 5.297
angles (deg): 90.00 90.00 90.00
Space group Pmmn (No. 59, origin choice 2)
Asymmetric unit:
Na 0.250 0.085 0.061 (multiplicity 4)
Na 0.250 0.750 0.775 (multiplicity 2)
Rh 0.250 0.250 0.700 (multiplicity 2)
Rh 0.250 0.583 0.439 (multiplicity 4)

This record from Alexandria via LeMat-Bulk describes crystalline NaRh at its relaxed geometry. The functional is GGA-PBE.

Results
D(E_F): 1.77 states/eV/f.u.
raw total energy: -4.071 eV per atom
formation energy: 25.5 kJ per mole of atoms

a b c (Å): 10.697 10.697 2.825
angles (deg): 90.00 90.00 90.00
Space group P4/mmm (No. 123)
Asymmetric unit:
Na 0.000 0.290 0.000 (multiplicity 4)
Na 0.268 0.268 0.500 (multiplicity 4)
Rh 0.127 0.500 0.500 (multiplicity 4)
Rh 0.336 0.500 0.000 (multiplicity 4)